(i)
DFT (PBE) results for a relaxed MgPCl2 crystal.

Output
Its density of states at the Fermi level is 1.07 states/eV/atom.

The structure in POSCAR format:
```
MgPCl2
1.0
0.0000 3.4466 3.4466
3.4466 0.0000 3.4466
3.4466 3.4466 0.0000
Mg P Cl
1 1 2
direct
0.0000 0.0000 0.0000
0.5000 0.5000 0.5000
0.2500 0.2500 0.2500
0.7500 0.7500 0.7500
```



(ii)
DFT (PBE) results for a relaxed MgPCl2 crystal.

Output
Its density of states at the Fermi level is 0.22 states/eV/atom.

The structure in POSCAR format:
```
MgPCl2
1.0
0.0000 3.6135 3.7770
3.0279 0.0000 3.7770
3.0279 3.6135 0.0000
Mg P Cl
1 1 2
direct
0.0000 0.0000 0.0000
0.5000 0.5000 0.5000
0.0000 0.5000 0.5000
0.5000 0.0000 0.0000
```



(iii)
DFT (PBE) results for a relaxed MgPCl2 crystal.

Output
Its density of states at the Fermi level is 0.14 states/eV/atom.

The structure in POSCAR format:
```
MgPCl2
1.0
3.2060 0.0000 0.0000
0.0000 3.2060 0.0000
0.0000 0.0000 8.2787
Mg P Cl
1 1 2
direct
0.0000 0.0000 0.0000
0.5000 0.5000 0.2118
0.0000 0.0000 0.4063
0.5000 0.5000 0.8329
```



Most stable structure: (ii)



(i)
DFT (PBE) results for a relaxed MgPCl2 crystal.

Output
Its density of states at the Fermi level is 0.24 states/eV/atom.

The structure in POSCAR format:
```
MgPCl2
1.0
-1.6470 2.3429 7.1046
1.6470 -2.3429 7.1046
1.6470 2.3429 -7.1046
Mg P Cl
1 1 2
direct
0.0000 0.0000 0.0000
0.1490 0.6490 0.5000
0.5953 0.5953 0.0000
0.8818 0.3818 0.5000
```



(ii)
DFT (PBE) results for a relaxed MgPCl2 crystal.

Output
Its density of states at the Fermi level is 0.35 states/eV/atom.

The structure in POSCAR format:
```
MgPCl2
1.0
3.0581 0.0000 0.0000
0.0000 3.0581 0.0000
0.0000 0.0000 11.8908
Mg P Cl
1 1 2
direct
0.0000 0.0000 0.0000
0.0000 0.0000 0.5000
0.5000 0.5000 0.1275
0.5000 0.5000 0.8725
```



Most stable structure: (i)



(i)
DFT (PBE) results for a relaxed MgPPbCl2 crystal.

Output
Its density of states at the Fermi level is 0.85 states/eV/atom.

The structure in POSCAR format:
```
MgPPbCl2
1.0
4.7795 0.0000 0.0000
0.0000 4.7795 0.0000
0.0000 0.0000 6.3640
Mg P Pb Cl
1 1 1 2
direct
0.0000 0.0000 0.0000
0.0000 0.0000 0.5000
0.5000 0.5000 0.5000
0.0000 0.5000 0.0000
0.5000 0.0000 0.0000
```



(ii)
DFT (PBE) results for a relaxed MgPPbCl2 crystal.

Output
Its density of states at the Fermi level is 0.73 states/eV/atom.

The structure in POSCAR format:
```
MgPPbCl2
1.0
5.6248 0.0000 0.0000
0.0000 5.6248 0.0000
0.0000 0.0000 6.2335
Mg P Pb Cl
1 1 1 2
direct
0.0000 0.0000 0.0000
0.5000 0.5000 0.0000
0.5000 0.5000 0.5000
0.0000 0.5000 0.5000
0.5000 0.0000 0.5000
```



Most stable structure: (i)



(i)
DFT (PBE) results for a relaxed MgPPtCl2 crystal.

Output
Its density of states at the Fermi level is 0.67 states/eV/atom.

The structure in POSCAR format:
```
MgPPtCl2
1.0
4.9786 0.0000 0.0000
0.0000 4.9786 0.0000
0.0000 0.0000 4.6649
Mg P Pt Cl
1 1 1 2
direct
0.0000 0.0000 0.0000
0.5000 0.5000 0.0000
0.5000 0.5000 0.5000
0.0000 0.5000 0.5000
0.5000 0.0000 0.5000
```



(ii)
DFT (PBE) results for a relaxed MgPPtCl2 crystal.

Output
Its density of states at the Fermi level is 1.00 states/eV/atom.

The structure in POSCAR format:
```
MgPPtCl2
1.0
4.4089 0.0000 0.0000
0.0000 4.4089 0.0000
0.0000 0.0000 6.8012
Mg P Pt Cl
1 1 1 2
direct
0.0000 0.0000 0.0000
0.0000 0.0000 0.5000
0.5000 0.5000 0.5000
0.0000 0.5000 0.0000
0.5000 0.0000 0.0000
```



Most stable structure: (i)



(i)
DFT (PBE) results for a relaxed MgPRhCl2 crystal.

Output
Its density of states at the Fermi level is 0.68 states/eV/atom.

The structure in POSCAR format:
```
MgPRhCl2
1.0
4.9371 0.0000 0.0000
0.0000 4.9371 0.0000
0.0000 0.0000 4.5392
Mg P Rh Cl
1 1 1 2
direct
0.0000 0.0000 0.0000
0.5000 0.5000 0.0000
0.5000 0.5000 0.5000
0.0000 0.5000 0.5000
0.5000 0.0000 0.5000
```



(ii)
DFT (PBE) results for a relaxed MgPRhCl2 crystal.

Output
Its density of states at the Fermi level is 0.96 states/eV/atom.

The structure in POSCAR format:
```
MgPRhCl2
1.0
4.4670 0.0000 0.0000
0.0000 4.4670 0.0000
0.0000 0.0000 6.2201
Mg P Rh Cl
1 1 1 2
direct
0.0000 0.0000 0.0000
0.0000 0.0000 0.5000
0.5000 0.5000 0.5000
0.0000 0.5000 0.0000
0.5000 0.0000 0.0000
```



Most stable structure: (i)



(i)
DFT (PBE) results for a relaxed MgPRuCl2 crystal.

Output
Its density of states at the Fermi level is 0.94 states/eV/atom.

The structure in POSCAR format:
```
MgPRuCl2
1.0
4.5148 0.0000 0.0000
0.0000 4.5148 0.0000
0.0000 0.0000 5.7279
Mg P Ru Cl
1 1 1 2
direct
0.0000 0.0000 0.0000
0.0000 0.0000 0.5000
0.5000 0.5000 0.5000
0.0000 0.5000 0.0000
0.5000 0.0000 0.0000
```



(ii)
DFT (PBE) results for a relaxed MgPRuCl2 crystal.

Output
Its density of states at the Fermi level is 0.66 states/eV/atom.

The structure in POSCAR format:
```
MgPRuCl2
1.0
4.9348 0.0000 0.0000
0.0000 4.9348 0.0000
0.0000 0.0000 4.5001
Mg P Ru Cl
1 1 1 2
direct
0.0000 0.0000 0.0000
0.5000 0.5000 0.0000
0.5000 0.5000 0.5000
0.0000 0.5000 0.5000
0.5000 0.0000 0.5000
```



Most stable structure: (ii)



(i)
DFT (PBE) results for a relaxed MgPS2Cl crystal.

Output
Its density of states at the Fermi level is 0.84 states/eV/atom.

The structure in POSCAR format:
```
MgPS2Cl
1.0
4.6294 0.0000 0.0000
0.0000 4.6294 0.0000
0.0000 0.0000 5.3662
Mg P S Cl
1 1 2 1
direct
0.0000 0.0000 0.0000
0.0000 0.0000 0.5000
0.0000 0.5000 0.0000
0.5000 0.0000 0.0000
0.5000 0.5000 0.5000
```



(ii)
DFT (PBE) results for a relaxed MgPS2Cl crystal.

Output
Its density of states at the Fermi level is 1.19 states/eV/atom.

The structure in POSCAR format:
```
MgPS2Cl
1.0
4.9437 0.0000 0.0000
0.0000 4.9437 0.0000
0.0000 0.0000 4.3703
Mg P S Cl
1 1 2 1
direct
0.0000 0.0000 0.0000
0.5000 0.5000 0.0000
0.0000 0.5000 0.5000
0.5000 0.0000 0.5000
0.5000 0.5000 0.5000
```



(iii)
DFT (PBE) results for a relaxed MgPS2Cl crystal.

Output
Its density of states at the Fermi level is 0.62 states/eV/atom.

The structure in POSCAR format:
```
MgPS2Cl
1.0
4.6572 0.0000 0.0000
0.0000 4.6572 0.0000
0.0000 0.0000 4.5926
Mg P S Cl
1 1 2 1
direct
0.0000 0.0000 0.0000
0.5000 0.5000 0.5000
0.0000 0.5000 0.5000
0.5000 0.0000 0.5000
0.5000 0.5000 0.0000
```



Most stable structure: (iii)



(i)
DFT (PBE) results for a relaxed MgSbPCl2 crystal.

Output
Its density of states at the Fermi level is 0.47 states/eV/atom.

The structure in POSCAR format:
```
MgSbPCl2
1.0
4.5867 0.0000 0.0000
0.0000 4.5867 0.0000
0.0000 0.0000 5.6920
Mg Sb P Cl
1 1 1 2
direct
0.0000 0.0000 0.0000
0.5000 0.5000 0.5000
0.0000 0.0000 0.5000
0.0000 0.5000 0.0000
0.5000 0.0000 0.0000
```



(ii)
DFT (PBE) results for a relaxed MgSbPCl2 crystal.

Output
Its density of states at the Fermi level is 0.20 states/eV/atom.

The structure in POSCAR format:
```
MgSbPCl2
1.0
5.1814 0.0000 0.0000
0.0000 5.1814 0.0000
0.0000 0.0000 5.3464
Mg Sb P Cl
1 1 1 2
direct
0.0000 0.0000 0.0000
0.5000 0.5000 0.5000
0.5000 0.5000 0.0000
0.0000 0.5000 0.5000
0.5000 0.0000 0.5000
```



Most stable structure: (i)